Version w
Entry from Alexandria: a relaxed structure of V4OF11 (PBE+U).

Summary:
Its volume is 13.60 A^3/atom.

Cell lengths 5.252, 5.452, 7.611 Å; angles 92.88, 90.23, 90.42 degrees
Positions (direct):
1 V 0.000 0.000 0.000
2 V 0.001 0.001 0.500
3 V 0.475 0.482 0.004
4 V 0.502 0.502 0.500
5 O 0.227 0.291 0.037
6 F 0.096 0.984 0.748
7 F 0.195 0.696 0.447
8 F 0.291 0.790 0.054
9 F 0.310 0.196 0.451
10 F 0.404 0.505 0.750
11 F 0.602 0.502 0.249
12 F 0.692 0.808 0.548
13 F 0.713 0.213 0.944
14 F 0.774 0.705 0.960
15 F 0.810 0.307 0.551
16 F 0.902 0.012 0.251



Version x
Entry from Alexandria: a relaxed structure of V4OF11 (PBE+U).

Summary:
Its volume is 13.55 A^3/atom.

Cell lengths 5.443, 5.443, 9.060 Å; angles 105.67, 105.67, 58.11 degrees
Positions (direct):
1 V 0.117 0.117 0.383
2 V 0.378 0.369 0.127
3 V 0.631 0.622 0.873
4 V 0.883 0.883 0.617
5 O 0.931 0.069 0.500
6 F 0.306 0.681 0.698
7 F 0.319 0.694 0.302
8 F 0.335 0.154 0.254
9 F 0.407 0.593 0.000
10 F 0.447 0.048 0.948
11 F 0.458 0.058 0.551
12 F 0.804 0.187 0.200
13 F 0.813 0.196 0.800
14 F 0.846 0.665 0.746
15 F 0.942 0.542 0.449
16 F 0.952 0.553 0.052



Least stable structure: version x



Version w
Entry from Alexandria: a relaxed structure of V4OF11 (PBE+U).

Summary:
Its volume is 13.71 A^3/atom.

Cell lengths 4.978, 5.095, 9.959 Å; angles 80.60, 76.13, 63.69 degrees
Positions (direct):
1 V 0.000 0.000 0.000
2 V 0.017 0.987 0.494
3 V 0.472 0.039 0.255
4 V 0.510 0.989 0.747
5 O 0.160 0.265 0.359
6 F 0.129 0.269 0.864
7 F 0.256 0.008 0.120
8 F 0.264 0.984 0.622
9 F 0.378 0.719 0.881
10 F 0.399 0.716 0.372
11 F 0.620 0.287 0.117
12 F 0.639 0.262 0.613
13 F 0.754 0.995 0.873
14 F 0.769 0.997 0.366
15 F 0.858 0.740 0.135
16 F 0.888 0.712 0.627



Version x
Entry from Alexandria: a relaxed structure of V4OF11 (PBE+U).

Summary:
Its volume is 13.54 A^3/atom.

Cell lengths 5.280, 5.460, 7.529 Å; angles 93.24, 90.11, 90.04 degrees
Positions (direct):
1 V 0.000 0.000 0.000
2 V 0.002 0.001 0.498
3 V 0.491 0.500 0.976
4 V 0.501 0.501 0.497
5 O 0.423 0.499 0.757
6 F 0.105 0.002 0.749
7 F 0.195 0.698 0.451
8 F 0.199 0.306 0.048
9 F 0.301 0.801 0.050
10 F 0.307 0.199 0.447
11 F 0.584 0.502 0.237
12 F 0.697 0.802 0.548
13 F 0.698 0.197 0.951
14 F 0.805 0.693 0.954
15 F 0.809 0.305 0.542
16 F 0.895 0.999 0.250



Least stable structure: version w



Version w
Entry from Alexandria: a relaxed structure of V4OF11 (PBE+U).

Summary:
Its volume is 13.75 A^3/atom.

Cell lengths 5.295, 5.463, 17.578 Å; angles 82.68, 81.78, 61.18 degrees
Positions (direct):
1 V 0.000 0.000 0.000
2 V 0.131 0.120 0.625
3 V 0.270 0.238 0.259
4 V 0.368 0.378 0.872
5 V 0.500 0.500 0.500
6 V 0.632 0.622 0.128
7 V 0.730 0.762 0.741
8 V 0.869 0.880 0.375
9 O 0.493 0.087 0.330
10 O 0.507 0.913 0.670
11 F 0.000 0.422 0.173
12 F 0.000 0.578 0.827
13 F 0.035 0.443 0.684
14 F 0.038 0.040 0.289
15 F 0.197 0.225 0.960
16 F 0.211 0.814 0.563
17 F 0.262 0.821 0.083
18 F 0.264 0.662 0.413
19 F 0.266 0.702 0.933
20 F 0.289 0.284 0.538
21 F 0.443 0.476 0.213
22 F 0.485 0.042 0.815
23 F 0.515 0.958 0.185
24 F 0.557 0.524 0.787
25 F 0.711 0.716 0.462
26 F 0.734 0.298 0.067
27 F 0.736 0.338 0.587
28 F 0.738 0.179 0.917
29 F 0.789 0.186 0.437
30 F 0.803 0.775 0.040
31 F 0.962 0.960 0.711
32 F 0.965 0.557 0.316



Version x
Entry from Alexandria: a relaxed structure of V4OF11 (PBE+U).

Summary:
Its volume is 13.61 A^3/atom.

Cell lengths 5.273, 5.458, 17.477 Å; angles 83.15, 81.66, 61.23 degrees
Positions (direct):
1 V 0.000 0.000 0.000
2 V 0.109 0.143 0.627
3 V 0.219 0.273 0.243
4 V 0.362 0.409 0.881
5 V 0.481 0.517 0.501
6 V 0.623 0.628 0.127
7 V 0.736 0.769 0.753
8 V 0.855 0.891 0.374
9 O 0.002 0.421 0.171
10 O 0.268 0.679 0.936
11 F 0.021 0.461 0.688
12 F 0.039 0.038 0.288
13 F 0.195 0.827 0.565
14 F 0.216 0.207 0.962
15 F 0.226 0.847 0.089
16 F 0.240 0.683 0.415
17 F 0.270 0.302 0.538
18 F 0.454 0.469 0.214
19 F 0.461 0.084 0.817
20 F 0.478 0.101 0.331
21 F 0.498 0.934 0.665
22 F 0.525 0.550 0.789
23 F 0.528 0.949 0.188
24 F 0.687 0.736 0.463
25 F 0.705 0.326 0.063
26 F 0.721 0.353 0.589
27 F 0.758 0.170 0.913
28 F 0.766 0.207 0.437
29 F 0.776 0.800 0.040
30 F 0.953 0.980 0.716
31 F 0.959 0.558 0.317
32 F 0.983 0.580 0.839



Version y
Entry from Alexandria: a relaxed structure of V4OF11 (PBE+U).

Summary:
Its volume is 12.89 A^3/atom.

Cell lengths 4.973, 5.043, 9.644 Å; angles 96.32, 95.34, 119.48 degrees
Positions (direct):
1 V 0.000 0.000 0.000
2 V 0.087 0.709 0.258
3 V 0.585 0.234 0.748
4 V 0.800 0.811 0.518
5 O 0.787 0.146 0.639
6 F 0.050 0.355 0.130
7 F 0.094 0.045 0.394
8 F 0.173 0.879 0.644
9 F 0.294 0.249 0.878
10 F 0.331 0.997 0.131
11 F 0.442 0.746 0.384
12 F 0.530 0.512 0.635
13 F 0.640 0.986 0.885
14 F 0.757 0.720 0.130
15 F 0.801 0.473 0.385
16 F 0.910 0.609 0.877



Least stable structure: version y



Version w
Entry from Alexandria: a relaxed structure of V2O2F3 (PBE+U).

Summary:
Its volume is 13.31 A^3/atom.

Cell lengths 5.376, 5.376, 9.909 Å; angles 90.00, 90.00, 139.41 degrees
Positions (direct):
1 V 0.145 0.855 0.558
2 V 0.145 0.855 0.942
3 V 0.855 0.145 0.058
4 V 0.855 0.145 0.442
5 O 0.328 0.672 0.036
6 O 0.328 0.672 0.464
7 O 0.672 0.328 0.536
8 O 0.672 0.328 0.964
9 F 0.038 0.962 0.118
10 F 0.038 0.962 0.382
11 F 0.208 0.792 0.750
12 F 0.792 0.208 0.250
13 F 0.962 0.038 0.618
14 F 0.962 0.038 0.882



Version x
Entry from Alexandria: a relaxed structure of V2O2F3 (PBE+U).

Summary:
Its volume is 12.38 A^3/atom.

Cell lengths 5.604, 5.604, 7.243 Å; angles 108.24, 108.24, 54.51 degrees
Positions (direct):
1 V 0.010 0.990 0.500
2 V 0.393 0.418 0.259
3 V 0.418 0.393 0.759
4 V 0.990 0.010 0.000
5 O 0.159 0.831 0.234
6 O 0.228 0.609 0.522
7 O 0.609 0.228 0.022
8 O 0.831 0.159 0.734
9 F 0.011 0.643 0.846
10 F 0.095 0.309 0.130
11 F 0.309 0.095 0.630
12 F 0.394 0.765 0.919
13 F 0.643 0.011 0.346
14 F 0.765 0.394 0.419



Least stable structure: version w



Version w
Entry from Alexandria: a relaxed structure of YVOF2 (PBE+U).

Summary:
Its volume is 17.08 A^3/atom.

Cell lengths 4.387, 4.387, 4.437 Å; angles 90.00, 90.00, 90.00 degrees
Positions (direct):
1 Y 0.000 0.000 0.000
2 V 0.500 0.500 0.500
3 O 0.000 0.000 0.500
4 F 0.000 0.500 0.000
5 F 0.500 0.000 0.000



Version x
Entry from Alexandria: a relaxed structure of YVOF2 (PBE+U).

Summary:
Its volume is 13.79 A^3/atom.

Cell lengths 4.043, 4.043, 4.218 Å; angles 90.00, 90.00, 90.00 degrees
Positions (direct):
1 Y 0.000 0.000 0.000
2 V 0.500 0.500 0.500
3 O 0.500 0.500 0.000
4 F 0.000 0.500 0.500
5 F 0.500 0.000 0.500



Least stable structure: version x



Version w
Entry from Alexandria: a relaxed structure of VZnOF2 (PBE+U).

Summary:
Its volume is 12.50 A^3/atom.

Cell lengths 3.923, 3.923, 4.062 Å; angles 90.00, 90.00, 90.00 degrees
Positions (direct):
1 V 0.000 0.000 0.000
2 Zn 0.500 0.500 0.500
3 O 0.500 0.500 0.000
4 F 0.000 0.500 0.500
5 F 0.500 0.000 0.500



Version x
Entry from Alexandria: a relaxed structure of VZnOF2 (PBE+U).

Summary:
Its volume is 12.91 A^3/atom.

Cell lengths 4.117, 4.117, 3.807 Å; angles 90.00, 90.00, 90.00 degrees
Positions (direct):
1 V 0.000 0.000 0.000
2 Zn 0.500 0.500 0.500
3 O 0.000 0.000 0.500
4 F 0.000 0.500 0.000
5 F 0.500 0.000 0.000



Least stable structure: version w